VASP calculation (PBE) on crystalline ThBeAl at its relaxed geometry.

The structure in POSCAR format:
```
ThBeAl
1.0
0.000 3.183 3.183
3.183 0.000 3.183
3.183 3.183 0.000
Th Be Al
1 1 1
Cartesian
0.000 0.000 0.000
4.775 4.775 4.775
3.183 3.183 3.183
```

Calculated values
Polymorph energy (0 for the lowest one)   0 meV per atom